Entry from Alexandria via LeMat-Bulk: crystalline AlCo2Os at its relaxed geometry (GGA-PBE).

As for the final energy: -7.337 eV per atom. Its density of states at the Fermi level is 4.4 states/eV/f.u.

a = 8.278 Å, b = 8.278 Å, c = 8.278 Å
α = 18.47°, β = 18.47°, γ = 18.47°
Last column: magnetic moment on the atom in μB.
Element x y z (fractional)
Co 0.002 0.002 0.002  0.66
Co 0.498 0.498 0.498  0.66
Os 0.250 0.250 0.250  0.01
Al 0.750 0.750 0.750  -0.02

=====

Entry from Alexandria via LeMat-Bulk: crystalline AlCoOs2 at its relaxed geometry (GGA-PBE).

As for the final energy: -8.070 eV per atom. Its density of states at the Fermi level is 4.7 states/eV/f.u.

a = 2.690 Å, b = 2.690 Å, c = 8.505 Å
α = 90.00°, β = 90.00°, γ = 117.03°
Last column: magnetic moment on the atom in μB.
Element x y z (fractional)
Co 0.500 0.500 0.741  1.08
Os 0.000 0.000 0.989  0.38
Os 0.500 0.500 0.258  0.06
Al 0.000 0.000 0.512  -0.01

=====

Entry from Alexandria via LeMat-Bulk: crystalline AlCo2Os at its relaxed geometry (GGA-PBE).

As for the final energy: -7.390 eV per atom. Its density of states at the Fermi level is 4.1 states/eV/f.u.

a = 2.880 Å, b = 2.880 Å, c = 5.956 Å
α = 90.00°, β = 90.00°, γ = 90.00°
Last column: magnetic moment on the atom in μB.
Element x y z (fractional)
Co 0.000 0.000 0.003  1.24
Co 0.500 0.500 0.235  1.64
Os 0.000 0.000 0.493  0.26
Al 0.500 0.500 0.769  -0.01

=====

Entry from Alexandria via LeMat-Bulk: crystalline AlCo2Os at its relaxed geometry (GGA-PBE).

As for the final energy: -7.366 eV per atom. Its density of states at the Fermi level is 4.4 states/eV/f.u.

a = 4.879 Å, b = 4.879 Å, c = 4.879 Å
α = 145.51°, β = 129.88°, γ = 62.26°
Last column: magnetic moment on the atom in μB.
Element x y z (fractional)
Co 0.005 0.005 0.000  1.50
Co 0.495 0.495 0.000  1.50
Os 0.750 0.250 0.500  0.32
Al 0.250 0.750 0.500  -0.01

=====

Entry from Alexandria via LeMat-Bulk: crystalline AlCo2Os at its relaxed geometry (GGA-PBE).

As for the final energy: -7.168 eV per atom. Its density of states at the Fermi level is 4.9 states/eV/f.u.

a = 2.611 Å, b = 2.611 Å, c = 8.187 Å
α = 90.00°, β = 90.00°, γ = 114.98°
Last column: magnetic moment on the atom in μB.
Element x y z (fractional)
Co 0.000 0.000 0.991  1.06
Co 0.000 0.000 0.509  1.06
Os 0.500 0.500 0.250  0.23
Al 0.500 0.500 0.750  -0.01

=====

Entry from Alexandria via LeMat-Bulk: crystalline AlCoOs2 at its relaxed geometry (GGA-PBE).

As for the final energy: -8.301 eV per atom. Its density of states at the Fermi level is 4.0 states/eV/f.u.

a = 4.568 Å, b = 4.568 Å, c = 4.568 Å
α = 131.00°, β = 131.00°, γ = 71.81°
Element x y z (fractional)
Co 0.750 0.250 0.500
Os 0.000 0.000 0.000
Os 0.500 0.500 0.000
Al 0.250 0.750 0.500